Record 1
Computed, not measured: a relaxed LiZnNi crystal at the GGA-PBEsol level of DFT.

Summary:
V: 36.2 Å³ per cell
SG: I4mm, No. 107
ΔH_f (0 K): -97 meV/atom

Unit cell a=2.749 b=2.749 c=5.173 alpha=105.41 beta=105.41 gamma=90.00
Sites, in units of the cell vectors:
1 Ni 0.329 0.329 0.658
2 Zn 0.678 0.678 0.356
3 Li 0.993 0.993 0.986



Record 2
Computed, not measured: a relaxed LiZn2Ni crystal at the GGA-PBEsol level of DFT.

Summary:
V: 49.7 Å³ per cell
SG: C2/m, No. 12
ΔH_f (0 K): -143 meV/atom

Unit cell a=2.562 b=4.388 c=4.675 alpha=98.04 beta=90.00 gamma=106.98
Sites, in units of the cell vectors:
1 Li 0.000 0.000 0.500
2 Ni 0.500 0.000 0.000
3 Zn 0.761 0.521 0.762
4 Zn 0.239 0.479 0.238



Record 3
Computed, not measured: a relaxed LiZn2Ni crystal at the GGA-PBEsol level of DFT.

Summary:
V: 48.2 Å³ per cell
SG: I-4m2, No. 119
ΔH_f (0 K): -175 meV/atom

Unit cell a=3.546 b=3.546 c=4.583 alpha=112.76 beta=112.76 gamma=90.00
Sites, in units of the cell vectors:
1 Ni 0.250 0.750 0.500
2 Zn 0.000 0.000 0.000
3 Zn 0.750 0.250 0.500
4 Li 0.500 0.500 0.000



Record 4
Computed, not measured: a relaxed LiZnNi crystal at the GGA-PBEsol level of DFT.

Summary:
V: 34.7 Å³ per cell
SG: P3m1, No. 156
ΔH_f (0 K): -142 meV/atom

Unit cell a=2.490 b=4.011 c=4.011 alpha=120.00 beta=90.00 gamma=90.00
Sites, in units of the cell vectors:
1 Ni 0.710 0.333 0.667
2 Zn 0.314 0.667 0.333
3 Li 0.976 0.000 0.000



Record 5
Computed, not measured: a relaxed LiZnNi2 crystal at the GGA-PBEsol level of DFT.

Summary:
V: 44.8 Å³ per cell
SG: Imm2, No. 44
ΔH_f (0 K): -83 meV/atom

Unit cell a=2.684 b=4.044 c=4.792 alpha=114.96 beta=106.26 gamma=90.00
Sites, in units of the cell vectors:
1 Ni 0.007 0.007 0.013
2 Ni 0.746 0.246 0.492
3 Zn 0.493 0.493 0.987
4 Li 0.254 0.754 0.508



Record 6
Computed, not measured: a relaxed LiZr3Ni crystal at the GGA-PBEsol level of DFT.

Summary:
V: 92.3 Å³ per cell
SG: Pm-3m, No. 221
ΔH_f (0 K): 956 meV/atom

Unit cell a=4.520 b=4.520 c=4.520 alpha=90.00 beta=90.00 gamma=90.00
Sites, in units of the cell vectors:
1 Ni 0.500 0.500 0.500
2 Zr 0.000 0.500 0.000
3 Zr 0.000 0.000 0.500
4 Zr 0.500 0.000 0.000
5 Li 0.000 0.000 0.000



Record 7
Computed, not measured: a relaxed Li2ZrNi crystal at the GGA-PBEsol level of DFT.

Summary:
V: 58.2 Å³ per cell
SG: I-4m2, No. 119
ΔH_f (0 K): 82 meV/atom

Unit cell a=4.343 b=4.355 c=4.343 alpha=60.09 beta=90.00 gamma=119.91
Sites, in units of the cell vectors:
1 Li 0.000 0.000 0.000
2 Li 0.250 0.500 0.250
3 Ni 0.500 0.000 0.500
4 Zr 0.750 0.500 0.750



Record 8
Computed, not measured: a relaxed LiZrNi crystal at the GGA-PBEsol level of DFT.

Summary:
V: 51.6 Å³ per cell
SG: F-43m, No. 216
ΔH_f (0 K): 190 meV/atom

Unit cell a=4.178 b=4.178 c=4.178 alpha=60.00 beta=60.00 gamma=60.00
Sites, in units of the cell vectors:
1 Li 0.500 0.500 0.500
2 Ni 0.750 0.750 0.750
3 Zr 0.000 0.000 0.000



| no. | DOS at the Fermi energy (states/eV per cell) |
| --- | --- |
| 1 | 0.869 |
| 2 | 1.353 |
| 3 | 1.709 |
| 4 | 1.129 |
| 5 | 3.831 |
| 6 | 7.346 |
| 7 | 4.097 |
| 8 | 3.653 |